Entry 1:
# PBE NaScSeN2, optimized geometry
# Energy relative to the elements, uncorrected in kcal/mol of atoms: 5.11
data_NaScSeN2
_chemical_formula_sum 'Na1 Sc1 Se1 N2'
_space_group_name_H-M_alt 'P 4/m m m'
_space_group_IT_number 123
_space_group_name_Hall '-P 4 2'
_cell_length_a 4.3409
_cell_length_b 4.3409
_cell_length_c 5.3336
_cell_angle_alpha 90.00
_cell_angle_beta 90.00
_cell_angle_gamma 90.00
loop_
_atom_site_label
_atom_site_fract_x
_atom_site_fract_y
_atom_site_fract_z
Na1 0.0000 0.0000 0.0000
Sc1 0.5000 0.5000 0.5000
Se1 0.5000 0.5000 0.0000
N1 0.0000 0.5000 0.5000

Entry 2:
# PBE ErTm2Sc6, optimized geometry
# ΔE_f in eV per atom: 0.06
data_ErTm2Sc6
_chemical_formula_sum 'Er2 Tm4 Sc12'
_space_group_name_H-M_alt 'C m m m'
_space_group_IT_number 65
_space_group_name_Hall '-C 2 2'
_cell_length_a 9.1075
_cell_length_b 15.7900
_cell_length_c 3.2935
_cell_angle_alpha 90.00
_cell_angle_beta 90.00
_cell_angle_gamma 90.00
loop_
_atom_site_label
_atom_site_fract_x
_atom_site_fract_y
_atom_site_fract_z
Er1 0.0000 0.0000 0.0000
Tm1 0.0000 0.3333 0.0000
Sc1 0.1663 0.5000 0.5000
Sc2 0.1668 0.1668 0.5000

These records have energy above the lowest structure with this stoichiometry values of 0 0 kJ/mol of formula units, in the order they appear.
These records have calculated total energy values of -26.678 -101.878 eV/cell, in the order they appear.
These records have total moment values of 0.781 0.004 μB per atom, in the order they appear.